## BaH4 (PBE)

Data for a relaxed BaH4 crystal.

Output
Energy in eV/f.u.: -11.582

Cell: 4.991 4.991 4.991 Å, 90.00 90.00 90.00°
Each line ends with the local moment (μB).
Atoms (fractional coordinates):
H 0.000 0.000 0.000  0.37
H 0.500 0.000 0.500  0.13
H 0.000 0.500 0.500  0.13
H 0.500 0.500 0.000  0.13
Ba 0.500 0.500 0.500  0.07


## BaH (PBE)

Data for a relaxed BaH crystal.

Output
E above lowest polymorph in eV/atom: 0.080

Cell: 3.822 3.822 7.824 Å, 76.11 75.96 90.08°
Atoms (fractional coordinates):
Ba 0.864 0.363 0.769
Ba 0.136 0.637 0.231
H 0.314 0.814 0.870
H 0.686 0.186 0.130


## BaH5 (PBE)

Data for a relaxed BaH5 crystal.

Output
Energy in eV/f.u.: -17.625

Cell: 4.223 4.452 4.436 Å, 120.12 90.00 90.00°
Atoms (fractional coordinates):
H 0.500 0.630 0.260
H 0.000 0.662 0.324
H 0.500 0.500 0.000
H 0.000 0.338 0.676
H 0.500 0.370 0.740
Ba 0.000 0.000 0.000


## BaH (PBE)

Data for a relaxed BaH crystal.

Output
E above lowest polymorph in eV/atom: 0.045

Cell: 4.355 4.361 7.644 Å, 74.29 73.69 60.10°
Each line ends with the local moment (μB).
Atoms (fractional coordinates):
Ba 0.786 0.246 0.744  0.01
Ba 0.267 0.712 0.312  0.07
H 0.535 0.987 0.505  0.00
H 0.144 0.603 0.671  0.00


## BaH (PBE)

Data for a relaxed BaH crystal.

Output
E above lowest polymorph in eV/atom: 0.059

Cell: 6.582 8.727 7.794 Å, 90.00 90.00 90.00°
Atoms (fractional coordinates):
Ba 0.736 0.625 0.082
Ba 0.236 0.875 0.918
Ba 0.264 0.125 0.418
Ba 0.764 0.375 0.582
Ba 0.256 0.378 0.911
Ba 0.756 0.122 0.089
Ba 0.744 0.878 0.589
Ba 0.244 0.622 0.411
H 0.314 0.626 0.085
H 0.814 0.874 0.915
H 0.686 0.126 0.415
H 0.186 0.374 0.585
H 0.492 0.122 0.752
H 0.992 0.378 0.248
H 0.508 0.622 0.748
H 0.008 0.878 0.252


## Ba2H3 (PBE)

Data for a relaxed Ba2H3 crystal.

Output
E above lowest polymorph in eV/atom: 0.013

Cell: 5.657 6.830 7.140 Å, 118.57 113.34 90.00°
Atoms (fractional coordinates):
Ba 0.116 0.372 0.231
Ba 0.884 0.628 0.769
Ba 0.384 0.141 0.769
Ba 0.616 0.859 0.231
H 0.750 0.000 0.000
H 0.250 0.000 0.000
H 0.862 0.203 0.725
H 0.638 0.478 0.275
H 0.362 0.522 0.725
H 0.138 0.797 0.275


## BaH3 (PBE)

Data for a relaxed BaH3 crystal.

Output
Energy in eV/f.u.: -11.477

Cell: 4.506 3.478 3.940 Å, 90.00 90.00 90.00°
Atoms (fractional coordinates):
H 0.000 0.500 0.564
H 0.500 0.500 0.878
H 0.500 0.000 0.815
Ba 0.000 0.000 0.076


## BaH (PBE)

Data for a relaxed BaH crystal.

Output
E above lowest polymorph in eV/atom: 0.090

Cell: 4.118 4.118 4.118 Å, 60.00 60.00 60.00°
Each line ends with the local moment (μB).
Atoms (fractional coordinates):
H 0.000 0.000 0.000  -0.01
Ba 0.500 0.500 0.500  0.24


Please write out number 7 again, unchanged.
## BaH3 (PBE)

Data for a relaxed BaH3 crystal.

Output
Energy in eV/f.u.: -11.477

Cell: 4.506 3.478 3.940 Å, 90.00 90.00 90.00°
Atoms (fractional coordinates):
H 0.000 0.500 0.564
H 0.500 0.500 0.878
H 0.500 0.000 0.815
Ba 0.000 0.000 0.076